Record 1
A crystal of MgTc2AuI relaxed with PBEsol, computed with meta-GGA SCAN.

a = 5.0190 Å, b = 5.0190 Å, c = 5.4158 Å
α = 90.00°, β = 90.00°, γ = 90.00°
With the nearest neighbours (Å) after each atom.
Fractional coordinates of all 5 atoms:
Mg  0.5000  0.5000  0.5000  4 I 3.55, 8 Tc 3.69
Tc  0.0000  0.5000  0.0000  2 Au 2.51
Tc  0.5000  0.0000  0.0000  2 Au 2.51
Au  0.0000  0.0000  0.0000  4 Tc 2.51, 2 I 2.71
I  0.0000  0.0000  0.5000  2 Au 2.71

## Properties
Volume in A^3/atom: 27.29
E_tot in eV per cell: -173.19
Symmetry: No. 123
Crystal system: tetragonal
ρ in kg/m3: 6624


Record 2
A crystal of MnAu2SI relaxed with PBEsol, computed with meta-GGA SCAN.

a = 4.4830 Å, b = 4.4830 Å, c = 7.4774 Å
α = 90.00°, β = 90.00°, γ = 90.00°
With the nearest neighbours (Å) after each atom.
Fractional coordinates of all 5 atoms:
Mn  0.5000  0.5000  0.5000  4 I 3.17
Au  0.0000  0.5000  0.0000  2 S 2.24
Au  0.5000  0.0000  0.0000  2 S 2.24
S  0.0000  0.0000  0.0000  4 Au 2.24
I  0.0000  0.0000  0.5000  4 Mn 3.17

## Properties
Volume in A^3/atom: 30.05
E_tot in eV per cell: -201.23
Symmetry: No. 123
Crystal system: tetragonal
ρ in kg/m3: 6717


Record 3
A crystal of SrMnAuI2 relaxed with PBEsol, computed with meta-GGA SCAN.

a = 4.9713 Å, b = 5.7442 Å, c = 5.7442 Å
α = 90.00°, β = 90.00°, γ = 90.00°
With the nearest neighbours (Å) after each atom.
Fractional coordinates of all 5 atoms:
Sr  0.5000  0.5000  0.5000  8 I 3.80, 4 Mn 4.06
Mn  0.5000  0.0000  0.0000  2 Au 2.49
Au  0.0000  0.0000  0.0000  2 Mn 2.49
I  0.0000  0.0000  0.5000  2 Au 2.87
I  0.0000  0.5000  0.0000  2 Au 2.87

## Properties
Volume in A^3/atom: 32.81
E_tot in eV per cell: -184.31
Symmetry: No. 123
Crystal system: tetragonal
ρ in kg/m3: 6006


Record 4
A crystal of MnTe2AuI relaxed with PBEsol, computed with meta-GGA SCAN.

a = 5.3999 Å, b = 5.3999 Å, c = 5.3935 Å
α = 90.00°, β = 90.00°, γ = 90.00°
With the nearest neighbours (Å) after each atom.
Fractional coordinates of all 5 atoms:
I  0.0000  0.0000  0.5000  2 Au 2.70
Au  0.0000  0.0000  0.0000  2 I 2.70, 4 Te 2.70
Te  0.0000  0.5000  0.0000  2 Au 2.70
Te  0.5000  0.0000  0.0000  2 Au 2.70
Mn  0.5000  0.5000  0.5000  8 Te 3.82, 4 I 3.82

## Properties
Volume in A^3/atom: 31.45
E_tot in eV per cell: -196.46
Symmetry: No. 123
Crystal system: tetragonal
ρ in kg/m3: 6694


Record 5
A crystal of MoAuI2 relaxed with PBEsol, computed with meta-GGA SCAN.

a = 4.9211 Å, b = 4.9211 Å, c = 4.9211 Å
α = 60.00°, β = 60.00°, γ = 60.00°
With the nearest neighbours (Å) after each atom.
Fractional coordinates of all 4 atoms:
Au  0.5000  0.5000  0.5000  8 I 3.01
I  0.2500  0.2500  0.2500  4 Mo 3.01, 4 Au 3.01
I  0.7500  0.7500  0.7500  4 Au 3.01, 4 Mo 3.01
Mo  0.0000  0.0000  0.0000  8 I 3.01

## Properties
Volume in A^3/atom: 21.07
E_tot in eV per cell: -173.40
Symmetry: No. 225
Crystal system: cubic
ρ in kg/m3: 10773


Record 6
A crystal of Te2MoAuI relaxed with PBEsol, computed with meta-GGA SCAN.

a = 5.3326 Å, b = 5.3883 Å, c = 5.3883 Å
α = 90.00°, β = 90.00°, γ = 90.00°
With the nearest neighbours (Å) after each atom.
Fractional coordinates of all 5 atoms:
Te  0.0000  0.0000  0.5000  2 Au 2.69
Te  0.0000  0.5000  0.0000  2 Au 2.69
Au  0.0000  0.0000  0.0000  2 I 2.67, 4 Te 2.69
Mo  0.5000  0.5000  0.5000  8 Te 3.79, 4 I 3.81
I  0.5000  0.0000  0.0000  2 Au 2.67

## Properties
Volume in A^3/atom: 30.97
E_tot in eV per cell: -210.46
Symmetry: No. 123
Crystal system: tetragonal
ρ in kg/m3: 7240


Record 7
A crystal of Au2IN relaxed with PBEsol, computed with meta-GGA SCAN.

a = 5.4198 Å, b = 5.4198 Å, c = 7.0715 Å
α = 112.53°, β = 112.53°, γ = 90.00°
With the nearest neighbours (Å) after each atom.
Fractional coordinates of all 8 atoms:
Au  0.6250  0.8750  0.2500  2 N 2.01
Au  0.6250  0.3750  0.7500  2 N 2.01
Au  0.6250  0.3750  0.2500  2 N 2.01
Au  0.1250  0.3750  0.7500  2 N 2.01
N  0.5000  0.5000  0.0000  4 Au 2.01
N  0.7500  0.2500  0.5000  4 Au 2.01
I  0.0000  0.0000  0.0000  8 Au 3.37
I  0.2500  0.7500  0.5000  8 Au 3.37

## Properties
Volume in A^3/atom: 21.82
E_tot in eV per cell: -363.18
Symmetry: No. 141
Crystal system: tetragonal
ρ in kg/m3: 10175


Record 8
A crystal of PtAuI2N relaxed with PBEsol, computed with meta-GGA SCAN.

a = 3.6690 Å, b = 5.5930 Å, c = 5.5930 Å
α = 90.00°, β = 90.00°, γ = 90.00°
With the nearest neighbours (Å) after each atom.
Fractional coordinates of all 5 atoms:
I  0.0000  0.0000  0.5000  2 Pt 2.80
I  0.0000  0.5000  0.0000  2 Pt 2.80
N  0.5000  0.0000  0.0000  2 Pt 1.83
Pt  0.0000  0.0000  0.0000  2 N 1.83
Au  0.5000  0.5000  0.5000  8 I 3.34, 2 Au 3.67

## Properties
Volume in A^3/atom: 22.95
E_tot in eV per cell: -218.79
Symmetry: No. 123
Crystal system: tetragonal
ρ in kg/m3: 9547


Record 9
A crystal of RbAuIN2 relaxed with PBEsol, computed with meta-GGA SCAN.

a = 5.0126 Å, b = 5.0126 Å, c = 7.0609 Å
α = 90.00°, β = 90.00°, γ = 90.00°
With the nearest neighbours (Å) after each atom.
Fractional coordinates of all 5 atoms:
Rb  0.0000  0.0000  0.0000  4 N 2.51
Au  0.5000  0.5000  0.5000  4 I 3.54
N  0.5000  0.0000  0.0000  2 Rb 2.51
N  0.0000  0.5000  0.0000  2 Rb 2.51
I  0.0000  0.0000  0.5000  2 Rb 3.53, 4 Au 3.54

## Properties
Volume in A^3/atom: 35.48
E_tot in eV per cell: -135.48
Symmetry: No. 123
Crystal system: tetragonal
ρ in kg/m3: 4093


Record 10
A crystal of ReAuIN2 relaxed with PBEsol, computed with meta-GGA SCAN.

a = 3.8611 Å, b = 3.8611 Å, c = 5.8099 Å
α = 90.00°, β = 90.00°, γ = 90.00°
With the nearest neighbours (Å) after each atom.
Fractional coordinates of all 5 atoms:
Au  0.5000  0.5000  0.5000  4 I 2.73
Re  0.0000  0.0000  0.0000  4 N 1.93
N  0.5000  0.0000  0.0000  2 Re 1.93
N  0.0000  0.5000  0.0000  2 Re 1.93
I  0.0000  0.0000  0.5000  4 Au 2.73, 2 Re 2.90

## Properties
Volume in A^3/atom: 17.32
E_tot in eV per cell: -191.97
Symmetry: No. 123
Crystal system: tetragonal
ρ in kg/m3: 10316


Record 11
A crystal of RuAuIN2 relaxed with PBEsol, computed with meta-GGA SCAN.

a = 3.8116 Å, b = 3.8116 Å, c = 5.8334 Å
α = 90.00°, β = 90.00°, γ = 90.00°
With the nearest neighbours (Å) after each atom.
Fractional coordinates of all 5 atoms:
N  0.0000  0.5000  0.0000  2 Ru 1.91
N  0.5000  0.0000  0.0000  2 Ru 1.91
Ru  0.0000  0.0000  0.0000  4 N 1.91
Au  0.5000  0.5000  0.5000  4 I 2.70
I  0.0000  0.0000  0.5000  4 Au 2.70, 2 Ru 2.92

## Properties
Volume in A^3/atom: 16.95
E_tot in eV per cell: -154.65
Symmetry: No. 123
Crystal system: tetragonal
ρ in kg/m3: 8875


Record 12
A crystal of SbAuIN2 relaxed with PBEsol, computed with meta-GGA SCAN.

a = 4.1138 Å, b = 4.1138 Å, c = 6.8268 Å
α = 90.00°, β = 90.00°, γ = 90.00°
With the nearest neighbours (Å) after each atom.
Fractional coordinates of all 5 atoms:
Au  0.0000  0.0000  0.0000  4 N 2.06
N  0.0000  0.5000  0.0000  2 Au 2.06
N  0.5000  0.0000  0.0000  2 Au 2.06
I  0.0000  0.0000  0.5000  4 Sb 2.91
Sb  0.5000  0.5000  0.5000  4 I 2.91

## Properties
Volume in A^3/atom: 23.11
E_tot in eV per cell: -153.31
Symmetry: No. 123
Crystal system: tetragonal
ρ in kg/m3: 6808


Record 13
A crystal of SbAuI2N relaxed with PBEsol, computed with meta-GGA SCAN.

a = 5.2267 Å, b = 5.6782 Å, c = 5.6782 Å
α = 90.00°, β = 90.00°, γ = 90.00°
With the nearest neighbours (Å) after each atom.
Fractional coordinates of all 5 atoms:
I  0.0000  0.0000  0.5000  2 Au 2.84
I  0.0000  0.5000  0.0000  2 Au 2.84
N  0.5000  0.5000  0.5000  8 I 3.86, 4 Sb 4.02
Sb  0.5000  0.0000  0.0000  2 Au 2.61
Au  0.0000  0.0000  0.0000  2 Sb 2.61, 4 I 2.84

## Properties
Volume in A^3/atom: 33.70
E_tot in eV per cell: -183.26
Symmetry: No. 123
Crystal system: tetragonal
ρ in kg/m3: 5780